1.
Na2AlRuI | PBE | relaxed

Output
* DOS at the Fermi energy: 0.2278 states/eV/atom
* total DFT energy (no corrections): -3.124 eV/atom
* mass density: 3.16 g cm⁻³

```
Na2AlRuI
1.0
5.8002 0.0000 0.0000
0.0000 5.8002 0.0000
0.0000 0.0000 4.6943
Na Al Ru I
2 1 1 1
Cartesian
2.9001 0.0000 0.0000
0.0000 2.9001 0.0000
0.0000 0.0000 2.3472
0.0000 0.0000 0.0000
2.9001 2.9001 2.3472
```


2.
ZnW2Se | PBE | relaxed

Output
* DOS at the Fermi energy: 0.8080 states/eV/atom
* total DFT energy (no corrections): -6.952 eV/atom
* relative energy among the computed polymorphs: 419.1 meV/atom
* mass density: 13.00 g cm⁻³

```
ZnW2Se
1.0
-1.4193 -1.9960 1.4442
-0.1252 -0.2408 -2.8303
7.3160 -5.1211 0.1119
W Se Zn
2 1 1
Cartesian
7.2950 -5.1064 0.1116
3.6791 -2.5753 0.0563
4.7148 -4.9592 -0.6091
1.0568 -2.3987 -0.6650
```


3.
La2TlP | PBE | relaxed

Output
* DOS at the Fermi energy: 0.5640 states/eV/atom
* E_form: -646 meV/atom
* total DFT energy (no corrections): -5.053 eV/atom
* relative energy among the computed polymorphs: 315.4 meV/atom
* mass density: 6.70 g cm⁻³

```
La2TlP
1.0
-1.2320 6.2205 -5.2354
-7.9793 0.0912 1.9861
-3.8915 5.6169 1.1314
La P Tl
4 2 2
Cartesian
-6.6829 6.5831 -0.2928
-2.6924 5.0617 -2.5376
-6.1618 2.4805 0.6663
-10.6684 9.7319 -2.0718
-8.2382 4.4320 0.7464
-4.6056 3.1559 -1.6246
-4.8646 7.4966 -2.8643
0.0000 0.0000 0.0000
```


4.
Dy2Tm3Al3 | PBE | relaxed

Output
* DOS at the Fermi energy: 0.6364 states/eV/atom
* E_form: -292 meV/atom
* total DFT energy (no corrections): -4.523 eV/atom
* relative energy among the computed polymorphs: 0.0 meV/atom
* mass density: 7.66 g cm⁻³

```
Dy2Tm3Al3
1.0
-0.1988 0.7184 -3.5577
4.7984 -1.5956 -0.5903
-5.8237 -9.4901 0.2660
Al Tm Dy
3 3 2
Cartesian
2.3992 -0.7978 -0.2952
-0.4144 -8.0861 -3.4666
-0.8096 -2.2812 -0.4154
-0.0994 0.3592 -1.7788
-2.6787 -7.5474 -1.3743
1.4546 -2.8199 -2.5076
0.4990 -6.1516 -1.2701
-1.7231 -4.2156 -2.6119
```


5.
PmDy2TmTe6 | PBE | relaxed

Output
* total DFT energy (no corrections): -5.085 eV/atom
* mass density: 6.41 g cm⁻³

```
PmDy2TmTe6
1.0
7.7236 -0.0003 -0.0002
3.8616 6.6890 -0.0002
3.8611 2.2298 7.0376
Te Pm Tm Dy
6 1 1 2
Cartesian
8.8613 6.5509 5.3014
10.3678 4.5593 1.7431
6.3143 6.6999 1.7435
6.4878 2.1187 1.7434
8.9652 2.4278 5.3014
5.3425 4.3992 5.3013
11.5850 6.6889 3.7768
3.8618 2.2298 0.2068
3.8610 2.2297 6.8672
7.7230 4.4592 3.3085
```


6.
PrTh4N5 | PBE | relaxed

Output
* DOS at the Fermi energy: 0.3819 states/eV/atom
* total DFT energy (no corrections): -9.144 eV/atom
* mass density: 10.87 g cm⁻³

```
PrTh4N5
1.0
4.6767 0.0000 2.2557
2.3383 5.7894 1.1278
-0.1768 0.0000 6.3424
Th N Pr
4 5 1
Cartesian
5.5098 4.6429 6.5164
1.3379 1.1466 3.2141
4.1833 3.4757 3.2907
2.6644 2.3137 6.4398
1.8231 3.4045 2.2085
2.3429 0.0000 1.1300
3.6454 1.1972 4.4062
3.2025 4.5923 5.3244
5.0248 2.3850 7.5221
0.0050 0.0000 0.0024
```


7.
Co2SiPb | PBE | relaxed

Output
* DOS at the Fermi energy: 1.3109 states/eV/atom
* total DFT energy (no corrections): -5.339 eV/atom
* relative energy among the computed polymorphs: 456.9 meV/atom
* mass density: 8.69 g cm⁻³

```
Co2SiPb
1.0
8.2300 0.0574 0.0340
7.6192 3.1118 0.0340
7.6192 1.5235 2.7135
Co Pb Si
2 1 1
Cartesian
6.2100 1.2417 0.7360
0.0384 0.0077 0.0046
11.8950 2.3785 1.4098
17.0591 3.4111 2.0219
```


8.
ScNbZnOs | PBE | relaxed

Output
* DOS at the Fermi energy: 0.6643 states/eV/atom
* E_form: -269 meV/atom
* total DFT energy (no corrections): -7.495 eV/atom
* mass density: 9.73 g cm⁻³

```
ScNbZnOs
1.0
4.5627 0.0000 0.0000
2.2813 3.9514 0.0000
2.2813 1.3171 3.7254
Zn Sc Nb Os
1 1 1 1
Cartesian
0.0000 0.0000 0.0000
6.8440 3.9514 2.7940
2.2813 1.3171 0.9313
4.5627 2.6343 1.8627
```


9.
HfNiSbTe2 | PBE | relaxed

Output
* DOS at the Fermi energy: 2.6884 states/eV/atom
* total DFT energy (no corrections): -4.569 eV/atom
* relative energy among the computed polymorphs: 310.2 meV/atom
* mass density: 6.15 g cm⁻³

```
HfNiSbTe2
1.0
-3.6620 -2.7648 2.9942
0.6958 -4.3905 -3.2031
4.0491 -1.7753 3.3129
Ni Te Sb Hf
1 2 1 1
Cartesian
0.5414 -4.4653 1.5520
-1.8310 -1.3824 1.4971
0.3479 -2.1952 -1.6016
2.0245 -0.8877 1.6564
0.0000 0.0000 0.0000
```


10.
TbPm2Si | PBE | relaxed

Output
* DOS at the Fermi energy: 1.4603 states/eV/atom
* total DFT energy (no corrections): -4.998 eV/atom
* relative energy among the computed polymorphs: 145.3 meV/atom
* mass density: 6.40 g cm⁻³

```
TbPm2Si
1.0
-2.9208 2.2897 0.7360
-1.1464 0.5166 3.5686
4.9174 8.6486 2.3337
Tb Pm Si
1 2 1
Cartesian
0.4250 5.7275 3.3192
0.9928 9.0280 5.0296
-0.1428 2.4269 1.6087
0.0000 0.0000 0.0000
```


11.
ErTaTiIr2 | PBE | relaxed

Output
* DOS at the Fermi energy: 0.7154 states/eV/atom
* E_form: -728 meV/atom
* total DFT energy (no corrections): -9.135 eV/atom
* mass density: 13.02 g cm⁻³

```
ErTaTiIr2
1.0
-3.0130 -1.6625 -2.6311
-2.2152 -1.4269 3.4383
-0.0640 6.1222 -0.2293
Ir Ta Ti Er
2 1 1 1
Cartesian
-2.0299 3.4696 0.1321
-3.2622 -0.4369 0.4458
-2.4466 1.5753 1.8063
-2.8455 1.4575 -1.2284
0.0000 0.0000 0.0000
```


12.
Tl2CuNi | PBE | relaxed

Output
* DOS at the Fermi energy: 0.5067 states/eV/atom
* E_form: 296 meV/atom
* total DFT energy (no corrections): -3.357 eV/atom
* mass density: 10.36 g cm⁻³

```
Tl2CuNi
1.0
6.1967 -0.8488 -0.5033
5.3834 3.1841 -0.5033
5.3834 1.0856 3.0353
Tl Ni Cu
2 1 1
Cartesian
3.8145 0.7692 0.4562
0.4451 0.0898 0.0532
13.3335 2.6889 1.5945
7.8520 1.5835 0.9390
```